Record 1
Density functional theory data (PBE) for a relaxed structure of AcY5Se6.

DOS at the Fermi energy   6.1 states/eV/cell
Energy relative to the elements, uncorrected   -1.763 eV/atom
Calculated density   6.256 g cm⁻³

Unit cell a=7.1938 b=7.1938 c=7.2082 alpha=99.61 beta=99.61 gamma=120.15
Last column: nearest neighbours and their distance in Å.
Atoms (fractional coordinates):
Y 0.3330 0.6670 0.0000  6 Se 2.91-2.94
Se 0.4368 0.0871 0.2615  5 Y 2.87-2.95, 1 Ac 3.08
Y 0.6670 0.3330 0.0000  6 Se 2.91-2.94
Se 0.5632 0.9129 0.7385  5 Y 2.87-2.95, 1 Ac 3.08
Y 0.1579 0.8421 0.5000  6 Se 2.87-2.95
Se 0.7344 0.7344 0.2531  5 Y 2.83-2.91, 1 Ac 3.05
Se 0.0871 0.4368 0.2615  5 Y 2.87-2.95, 1 Ac 3.08
Y 0.8421 0.1579 0.5000  6 Se 2.87-2.95
Se 0.9129 0.5632 0.7385  5 Y 2.87-2.95, 1 Ac 3.08
Ac 0.0000 0.0000 0.0000  6 Se 3.05-3.08
Se 0.2656 0.2656 0.7469  5 Y 2.83-2.91, 1 Ac 3.05
Y 0.5000 0.5000 0.5000  6 Se 2.83-2.94

Record 2
Density functional theory data (PBE) for a relaxed structure of Sc12TlNi6.

DOS at the Fermi energy   27.9 states/eV/cell
ΔE_f   -36 kJ/mol of atoms
Calculated density   4.905 g cm⁻³

Unit cell a=7.8404 b=7.8404 c=7.8404 alpha=109.47 beta=109.47 gamma=109.47
Last column: nearest neighbours and their distance in Å.
Atoms (fractional coordinates):
Sc 0.8115 0.7026 0.5141  1 Ni 2.46
Sc 0.2974 0.1088 0.8115  1 Ni 2.46
Sc 0.5141 0.8115 0.7026  1 Ni 2.46
Sc 0.7026 0.5141 0.8115  1 Ni 2.46
Sc 0.2974 0.4859 0.1885  1 Ni 2.46
Sc 0.4859 0.1885 0.2974  1 Ni 2.46
Ni 0.1305 0.6305 0.5000  1 Ni 2.36, 2 Sc 2.46
Sc 0.8115 0.2974 0.1088  1 Ni 2.46
Sc 0.8912 0.1885 0.7026  1 Ni 2.46
Ni 0.5000 0.8695 0.3695  1 Ni 2.36, 2 Sc 2.46
Ni 0.6305 0.5000 0.1305  1 Ni 2.36, 2 Sc 2.46
Ni 0.3695 0.5000 0.8695  1 Ni 2.36, 2 Sc 2.46
Sc 0.1088 0.8115 0.2974  1 Ni 2.46
Tl 0.0000 0.0000 0.0000  12 Sc 3.19
Sc 0.7026 0.8912 0.1885  1 Ni 2.46
Ni 0.5000 0.1305 0.6305  1 Ni 2.36, 2 Sc 2.46
Sc 0.1885 0.7026 0.8912  1 Ni 2.46
Ni 0.8695 0.3695 0.5000  1 Ni 2.36, 2 Sc 2.46
Sc 0.1885 0.2974 0.4859  1 Ni 2.46

Record 3
Density functional theory data (PBE) for a relaxed structure of CuH12N2O2F4.

Energy   -4.805 eV per atom
Calculated density   2.034 g cm⁻³

Unit cell a=7.2002 b=7.2002 c=7.2698 alpha=74.32 beta=74.32 gamma=77.88
Last column: nearest neighbours and their distance in Å.
Atoms (fractional coordinates):
H 0.5426 0.8258 0.3971  1 N 1.04
H 0.0912 0.8390 0.6081  1 O 1.00
H 0.3602 0.1547 0.4228  1 N 1.05
Cu 0.7952 0.2048 0.7500  2 F 1.95, 2 O 1.97
H 0.2788 0.2230 0.0999  1 N 1.04
Cu 0.2048 0.7952 0.2500  2 F 1.95, 2 O 1.97
H 0.7770 0.7212 0.4001  1 N 1.04
H 0.9088 0.1610 0.3919  1 O 1.00
H 0.8453 0.6398 0.0772  1 N 1.05
H 0.5958 0.6237 0.5775  1 N 1.05
N 0.6391 0.7548 0.4864  4 H 1.04-1.05
H 0.6237 0.5958 0.0775  1 N 1.05
H 0.7212 0.7770 0.9001  1 N 1.04
H 0.1610 0.9088 0.8919  1 O 1.00
F 0.9888 0.0112 0.2500  2 H 1.61
H 0.3903 0.8996 0.8879  1 O 1.01
F 0.4201 0.5799 0.2500  2 H 1.65
F 0.9741 0.5830 0.2566  2 H 1.56-1.71
H 0.8258 0.5426 0.8971  1 N 1.04
F 0.4170 0.0259 0.2434  2 H 1.56-1.71
F 0.5799 0.4201 0.7500  2 H 1.65
N 0.3609 0.2452 0.5136  4 H 1.04-1.05
N 0.2452 0.3609 0.0136  4 H 1.04-1.05
H 0.1742 0.4574 0.1029  1 N 1.04
F 0.5830 0.9741 0.7566  2 H 1.56-1.71
F 0.0259 0.4170 0.7434  2 H 1.56-1.71
O 0.7327 0.1581 0.0378  2 H 1.00-1.01
H 0.4574 0.1742 0.6029  1 N 1.04
H 0.4042 0.3763 0.4225  1 N 1.05
H 0.3763 0.4042 0.9225  1 N 1.05
H 0.6097 0.1004 0.1121  1 O 1.01
H 0.1004 0.6097 0.6121  1 O 1.01
F 0.0112 0.9888 0.7500  2 H 1.61
H 0.8996 0.3903 0.3879  1 O 1.01
H 0.8390 0.0912 0.1081  1 O 1.00
H 0.1547 0.3602 0.9228  1 N 1.05
N 0.7548 0.6391 0.9864  4 H 1.04-1.05
O 0.1581 0.7327 0.5378  2 H 1.00-1.01
O 0.2673 0.8419 0.9622  2 H 1.00-1.01
H 0.6398 0.8453 0.5772  1 N 1.05
O 0.8419 0.2673 0.4622  2 H 1.00-1.01
H 0.2230 0.2788 0.5999  1 N 1.04

Record 4
Density functional theory data (PBE) for a relaxed structure of GaSn2Hg2.

DOS at the Fermi energy   2.0 states/eV/cell
Relative energy among the computed polymorphs   74 meV/atom
ΔE_f   18 kJ/mol of atoms
Calculated density   8.296 g cm⁻³

Unit cell a=4.5471 b=4.5471 c=7.5735 alpha=72.53 beta=72.53 gamma=90.00
Last column: nearest neighbours and their distance in Å.
Atoms (fractional coordinates):
Ga 0.0000 0.0000 0.0000  8 Hg 3.50
Hg 0.6003 0.6003 0.7993  1 Hg 2.75, 4 Sn 3.06
Hg 0.3997 0.3997 0.2007  1 Hg 2.75, 4 Sn 3.06
Sn 0.7500 0.2500 0.5000  4 Hg 3.06, 4 Sn 3.22
Sn 0.2500 0.7500 0.5000  4 Hg 3.06, 4 Sn 3.22

Record 5
Density functional theory data (PBE) for a relaxed structure of Ce4SiBr4.

DOS at the Fermi energy   26.0 states/eV/cell
Energy relative to the elements, uncorrected   -0.832 eV/atom
Calculated density   4.999 g cm⁻³

Unit cell a=7.2358 b=7.2358 c=7.7059 alpha=118.00 beta=118.00 gamma=90.00
Last column: nearest neighbours and their distance in Å.
Atoms (fractional coordinates):
Si 0.0000 0.0000 0.0000  4 Ce 2.75
Br 0.6564 0.6564 0.3129  4 Ce 3.01-3.04
Ce 0.3588 0.9480 0.3068  1 Si 2.75, 2 Br 3.01-3.04
Br 0.0000 0.5000 0.0000  4 Ce 3.14
Ce 0.0520 0.0520 0.6932  1 Si 2.75, 2 Br 3.01-3.04
Br 0.3436 0.3436 0.6871  4 Ce 3.01-3.04
Ce 0.6412 0.6412 0.6932  1 Si 2.75, 2 Br 3.01-3.04
Br 0.5000 0.0000 0.0000  4 Ce 3.14
Ce 0.9480 0.3588 0.3068  1 Si 2.75, 2 Br 3.01-3.04

Record 6
Density functional theory data (PBE) for a relaxed structure of KAc2CdSe4.

DOS at the Fermi energy   4.5 states/eV/cell
Energy relative to the elements, uncorrected   -1.480 eV/atom
Calculated density   5.696 g cm⁻³

Unit cell a=4.5669 b=7.8857 c=15.5847 alpha=90.00 beta=90.00 gamma=106.83
Last column: nearest neighbours and their distance in Å.
Atoms (fractional coordinates):
Se 0.4424 0.8848 0.7500  2 Cd 2.70
Se 0.2657 0.5314 0.1134  1 Cd 2.72
Ac 0.3722 0.7444 0.9433  6 Se 3.10-3.21
Cd 0.1535 0.3069 0.2500  4 Se 2.70-2.72
Se 0.5576 0.1152 0.2500  2 Cd 2.70
Ac 0.6278 0.2556 0.0567  6 Se 3.10-3.21
Se 0.7343 0.4686 0.8866  1 Cd 2.72
Ac 0.6278 0.2556 0.4433  6 Se 3.10-3.21
Ac 0.3722 0.7444 0.5567  6 Se 3.10-3.21
K 0.8820 0.7641 0.2500  6 Se 3.50-3.58
K 0.1180 0.2359 0.7500  6 Se 3.50-3.58
Se 0.0000 0.0000 0.0000  4 Ac 3.12
Se 0.0000 0.0000 0.5000  4 Ac 3.12
Se 0.2657 0.5314 0.3866  1 Cd 2.72
Cd 0.8465 0.6931 0.7500  4 Se 2.70-2.72
Se 0.7343 0.4686 0.6134  1 Cd 2.72

| no. | V (Å³/cell) |
| --- | --- |
| 1 | 304.0 |
| 2 | 371.0 |
| 3 | 345.5 |
| 4 | 141.8 |
| 5 | 301.7 |
| 6 | 537.2 |